Entry 1:
KMg2Hg2 | GGA-PBE | relaxed

Output
**Electronic total energy**: -1.1327 eV per atom

Cell lengths 4.7633, 4.7633, 12.7762 Å; angles 90.00, 90.00, 90.00 degrees
Closest atoms and distances in Å follow each position.
Space group I4/mmm (No. 139)
Symmetry-distinct sites (fractional):
1 K 0.0000 0.0000 0.0000 (multiplicity 2)  8 Hg 3.68, 8 Mg 3.98
2 Mg 0.0000 0.5000 0.2500 (multiplicity 4)  4 Hg 2.93
3 Hg 0.0000 0.0000 0.3837 (multiplicity 4)  4 Mg 2.93, 1 Hg 2.97

***

Entry 2:
K2Mg2Hg3 | GGA-PBE | relaxed

Output
**Electronic total energy**: -0.9973 eV per atom

Cell lengths 4.9743, 4.9743, 33.7948 Å; angles 90.00, 90.00, 120.00 degrees
Closest atoms and distances in Å follow each position.
Space group R3m (No. 160, hexagonal axes)
Symmetry-distinct sites (fractional):
1 K 0.0000 0.0000 0.0000 (multiplicity 3)  7 Hg 3.53-3.66, 3 Mg 3.86
2 K 0.0000 0.0000 0.4962 (multiplicity 3)  5 Hg 3.39-3.64
3 Mg 0.0000 0.0000 0.2497 (multiplicity 3)  6 Hg 2.93-2.96
4 Mg 0.0000 0.0000 0.7429 (multiplicity 3)  3 Hg 2.91
5 Hg 0.0000 0.0000 0.3959 (multiplicity 3)  3 Mg 2.91
6 Hg 0.0000 0.0000 0.5997 (multiplicity 3)  3 Mg 2.93, 3 Hg 3.14
7 Hg 0.0000 0.0000 0.8955 (multiplicity 3)  3 Mg 2.96, 3 Hg 3.14